{
  "formula": "ScNbCuRu",
  "functional": "GGA-PBE",
  "state": "optimized geometry",
  "cell": [[0.0000, 3.1942, 3.1942], [3.1942, 0.0000, 3.1942], [3.1942, 3.1942, 0.0000]],
  "species": ["Sc", "Nb", "Cu", "Ru"],
  "fractional_positions": [[0.0000, 0.0000, 0.0000], [0.5000, 0.5000, 0.5000], [0.7500, 0.7500, 0.7500], [0.2500, 0.2500, 0.2500]],
  "vol_a3_per_atom": 16.3,
  "formation_energy_ev_per_atom": -0.232,
  "space_group": "F-43m, No. 216"
}